Here is a geometry-optimized YV3Mo structure from Alexandria via LeMat-Bulk. Energies are from PBE.

Geometry as POSCAR:
```
YV3Mo
1.0
-3.119 -2.270 -2.581
3.029 -0.166 -3.514
1.627 -4.045 1.593
Y Mo V
1 1 3
Direct
0.500 0.500 0.500
0.000 0.000 0.000
0.000 0.500 0.000
0.000 0.000 0.500
0.500 0.000 0.000
```

Summary:
Calculated density, g cm⁻³: 5.606
Space group: No. 221
Excess energy over the best structure of this formula in the dataset, kJ per mole of atoms: 0.0
Magnetization, μB per formula unit: 0.00